[1]
{
  "formula": "LiVC2O6",
  "functional": "PBE with a Hubbard U",
  "state": "relaxed",
  "cell": [[5.7725, 0.0017, 0.0011], [3.8634, 4.2891, 0.0011], [3.8634, 1.7203, 3.9289]],
  "species": ["C", "C", "Li", "O", "O", "O", "O", "O", "O", "V"],
  "fractional_positions": [[0.2450, 0.2450, 0.2450], [0.7550, 0.7550, 0.7550], [0.0000, 0.0000, 0.0000], [0.7424, 0.0369, 0.4847], [0.9631, 0.5153, 0.2576], [0.5153, 0.2576, 0.9631], [0.4847, 0.7424, 0.0369], [0.0369, 0.4847, 0.7424], [0.2576, 0.9631, 0.5153], [0.5000, 0.5000, 0.5000]],
  "density_g_cm3": 3.038
}

---

[2]
{
  "formula": "Li2VC2O6",
  "functional": "PBE with a Hubbard U",
  "state": "relaxed",
  "cell": [[-0.2860, 3.1682, -4.2805], [6.0159, -1.8731, 1.5177], [-0.7112, -8.2315, -2.7543]],
  "species": ["Li", "Li", "Li", "Li", "V", "V", "C", "C", "C", "C", "O", "O", "O", "O", "O", "O", "O", "O", "O", "O", "O", "O"],
  "fractional_positions": [[0.2164, 0.4520, 0.1710], [0.7959, 0.9529, 0.3303], [0.5200, 0.0594, 0.6706], [0.5990, 0.5604, 0.8296], [0.8665, 0.5055, 0.5002], [0.1164, 0.0060, 0.0003], [0.8400, 0.6062, 0.1975], [0.3941, 0.1058, 0.3027], [0.9917, 0.9059, 0.6977], [0.0432, 0.4057, 0.8028], [0.4896, 0.0520, 0.1997], [0.0387, 0.5526, 0.2992], [0.8482, 0.6600, 0.0510], [0.1375, 0.1079, 0.2480], [0.6386, 0.6071, 0.2538], [0.5498, 0.1582, 0.4491], [0.1934, 0.4594, 0.7005], [0.2433, 0.9593, 0.8000], [0.9481, 0.8531, 0.5511], [0.7884, 0.9044, 0.7533], [0.1449, 0.3528, 0.9493], [0.7847, 0.4041, 0.7473]],
  "density_g_cm3": 2.346
}

---

[3]
{
  "formula": "Li2VC2O6",
  "functional": "PBE with a Hubbard U",
  "state": "relaxed",
  "cell": [[5.9110, 0.0000, 0.0000], [0.0000, 4.9113, 0.0094], [0.0000, 4.5634, 8.2486]],
  "species": ["Li", "Li", "Li", "Li", "V", "V", "C", "C", "C", "C", "O", "O", "O", "O", "O", "O", "O", "O", "O", "O", "O", "O"],
  "fractional_positions": [[0.2464, 0.8213, 0.6985], [0.7464, 0.1787, 0.8015], [0.2536, 0.8213, 0.1985], [0.7536, 0.1787, 0.3015], [0.5000, 0.5000, 0.0000], [0.0000, 0.5000, 0.5000], [0.2846, 0.1342, 0.3628], [0.7846, 0.8658, 0.1372], [0.2154, 0.1342, 0.8628], [0.7154, 0.8658, 0.6372], [0.3948, 0.1369, 0.2413], [0.2242, 0.8692, 0.4839], [0.2586, 0.3912, 0.8627], [0.7586, 0.6088, 0.6373], [0.7242, 0.1308, 0.0161], [0.8948, 0.8631, 0.2587], [0.1052, 0.1369, 0.7413], [0.2758, 0.8692, 0.9839], [0.2414, 0.3912, 0.3627], [0.7414, 0.6088, 0.1373], [0.7758, 0.1308, 0.5161], [0.6052, 0.8631, 0.7587]],
  "density_g_cm3": 2.566
}

---

Table of VASP energy (eV per atom), in record order: -7.466 -7.110 -7.148